[1]
Material: GdSiH2O4
Method: DFT, PBE
State: optimized geometry

Structure (POSCAR):
```
GdSiH2O4
1.0
6.198 0.000 -0.881
0.000 6.655 0.000
-1.652 0.000 4.468
Gd H O Si
2 4 8 2
direct
0.158 0.250 0.143
0.842 0.750 0.857
0.472 0.750 0.175
0.000 0.000 0.500
0.000 0.500 0.500
0.528 0.250 0.825
0.485 0.250 0.064
0.095 0.553 0.341
0.095 0.947 0.341
0.477 0.750 0.412
0.523 0.250 0.588
0.905 0.053 0.659
0.905 0.447 0.659
0.515 0.750 0.936
0.718 0.250 0.436
0.282 0.750 0.564
```

Properties
**E**: -6.573 eV per atom
**Energy above the most stable polymorph in this dataset**: 2.4 kJ per mole of atoms

[2]
Material: HfCuAgAs
Method: DFT, PBE
State: optimized geometry

Structure (POSCAR):
```
HfCuAgAs
1.0
3.343 -0.173 -3.222
3.158 -3.405 0.110
-0.064 -3.333 -3.236
Ag As Cu Hf
1 1 1 1
direct
0.250 0.250 0.250
0.000 0.000 0.000
0.750 0.750 0.750
0.500 0.500 0.500
```

Properties
**E**: -5.115 eV per atom
**Energy above the most stable polymorph in this dataset**: 17.9 kJ per mole of atoms

[3]
Material: HfBeTcSb
Method: DFT, PBE
State: optimized geometry

Structure (POSCAR):
```
HfBeTcSb
1.0
-4.354 -0.843 1.074
-3.347 2.341 -2.035
-2.732 -2.074 -3.009
Be Hf Sb Tc
1 1 1 1
direct
0.750 0.750 0.750
0.250 0.250 0.250
0.000 0.000 0.000
0.500 0.500 0.500
```

Properties
**E**: -6.789 eV per atom
**Energy above the most stable polymorph in this dataset**: 23.6 kJ per mole of atoms

[4]
Material: HfGa2N
Method: DFT, PBE
State: optimized geometry

Structure (POSCAR):
```
HfGa2N
1.0
-1.464 -1.621 -2.117
3.034 -0.122 0.180
-1.009 -11.307 9.352
Ga Hf N
4 2 2
direct
0.333 0.667 0.086
0.333 0.667 0.414
0.667 0.333 0.586
0.667 0.333 0.914
0.667 0.333 0.250
0.333 0.667 0.750
0.000 0.000 0.000
0.000 0.000 0.500
```

Properties
**E**: -6.087 eV per atom

Number 1: V 174.6 Å³ per cell. Number 2: V 70.9 Å³ per cell. Number 3: V 67.2 Å³ per cell. Number 4: V 117.9 Å³ per cell.